[1]
Computed, not measured: a relaxed structure of HoEr6 at the PBE-GGA level of DFT.

Cell lengths 6.9428, 6.9428, 6.9428 Å; angles 109.47, 109.47, 109.47 degrees
Last column: nearest neighbours and their distance in Å.
Fractional positions:
Er1 0.7500 0.2500 0.5000  4 Er 2.83
Er2 0.2500 0.5000 0.7500  4 Er 2.83
Er3 0.5000 0.7500 0.2500  4 Er 2.83
Er4 0.5000 0.2500 0.7500  4 Er 2.83
Er5 0.2500 0.7500 0.5000  4 Er 2.83
Er6 0.7500 0.5000 0.2500  4 Er 2.83
Ho1 0.0000 0.0000 0.0000  24 Er 4.48

Results
mass density: 7.5 Mg/m³
symmetry: Im-3m (229)
formation enthalpy at 0 K: 1.57 eV per atom
D(E_F): 8.73 states/eV/f.u.

---

[2]
Computed, not measured: a relaxed structure of Ho3Er4 at the PBE-GGA level of DFT.

Cell lengths 4.9562, 7.8374, 6.0661 Å; angles 97.47, 114.11, 90.00 degrees
Last column: nearest neighbours and their distance in Å.
Fractional positions:
Er1 0.1428 0.4288 0.2857  6 Er 3.50-3.51, 6 Ho 3.50
Er2 0.2857 0.8569 0.5715  5 Er 3.50-3.51, 7 Ho 3.50
Er3 0.7143 0.1431 0.4285  5 Er 3.50-3.51, 7 Ho 3.50
Ho1 0.0000 0.0000 0.0000  8 Er 3.50, 4 Ho 3.51
Ho2 0.4285 0.2857 0.8571  9 Er 3.50, 3 Ho 3.50-3.51
Er4 0.8572 0.5712 0.7143  6 Er 3.50-3.51, 6 Ho 3.50
Ho3 0.5715 0.7143 0.1429  9 Er 3.50, 3 Ho 3.50-3.51

Results
mass density: 9.1 Mg/m³
symmetry: C2/m (12)
formation enthalpy at 0 K: 0.02 eV per atom
D(E_F): 9.43 states/eV/f.u.

---

[3]
Computed, not measured: a relaxed structure of Ho5Er2 at the PBE-GGA level of DFT.

Cell lengths 3.5089, 8.7241, 8.5023 Å; angles 57.46, 90.84, 90.30 degrees
Last column: nearest neighbours and their distance in Å.
Fractional positions:
Ho1 0.4851 0.4174 0.7536  2 Er 3.46-3.47, 9 Ho 3.49-3.74
Ho2 0.9985 0.2791 0.1723  8 Ho 3.36-3.55, 4 Er 3.45-3.58
Ho3 0.0000 0.0000 0.0000  4 Er 3.44-3.49, 8 Ho 3.45-3.56
Er1 0.4989 0.1241 0.5970  3 Er 3.35-3.51, 8 Ho 3.44-3.58
Er2 0.5011 0.8759 0.4030  3 Er 3.35-3.51, 8 Ho 3.44-3.58
Ho4 0.5149 0.5826 0.2464  2 Er 3.46-3.47, 9 Ho 3.49-3.74
Ho5 0.0015 0.7209 0.8277  8 Ho 3.36-3.55, 4 Er 3.45-3.58

Results
mass density: 8.8 Mg/m³
symmetry: P-1 (2)
formation enthalpy at 0 K: 0.08 eV per atom
D(E_F): 10.86 states/eV/f.u.

---

Question: The lowest D(E_F) belongs to which entry?
Answer: HoEr6